Record 1
{
  "formula": "Er5NiBi4",
  "functional": "PBE",
  "state": "optimized geometry",
  "sg": "No. 79",
  "formation_energy_ev_per_atom": -0.57,
  "final_energy_ev_per_atom": -4.986,
  "cell": [[-5.475, -1.710, -2.474], [0.463, -5.566, -5.063], [-3.555, -5.476, 3.768]],
  "species": ["Er", "Er", "Er", "Er", "Er", "Bi", "Bi", "Bi", "Bi", "Ni"],
  "fractional_positions": [[0.113, 0.622, 0.184], [0.735, 0.184, 0.378], [0.296, 0.816, 0.622], [0.402, 0.000, 0.000], [0.918, 0.378, 0.816], [0.607, 0.610, 0.210], [0.426, 0.390, 0.790], [0.217, 0.210, 0.390], [0.817, 0.790, 0.610], [0.979, 0.000, 0.000]]
}

---

Record 2
{
  "formula": "Er6NiBi3",
  "functional": "PBE",
  "state": "optimized geometry",
  "sg": "No. 36",
  "formation_energy_ev_per_atom": -0.38,
  "final_energy_ev_per_atom": -4.857,
  "cell": [[6.485, 0.000, 0.000], [0.000, 9.797, -0.722], [0.000, -2.890, 9.389]],
  "species": ["Bi", "Bi", "Bi", "Bi", "Bi", "Bi", "Er", "Er", "Er", "Er", "Er", "Er", "Er", "Er", "Er", "Er", "Er", "Er", "Ni", "Ni"],
  "fractional_positions": [[0.019, 0.084, 0.291], [0.224, 0.430, 0.570], [0.724, 0.570, 0.430], [0.019, 0.709, 0.916], [0.519, 0.916, 0.709], [0.519, 0.291, 0.084], [0.228, 0.418, 0.898], [0.068, 0.782, 0.635], [0.309, 0.987, 0.013], [0.228, 0.102, 0.582], [0.740, 0.233, 0.767], [0.568, 0.218, 0.365], [0.809, 0.013, 0.987], [0.068, 0.365, 0.218], [0.240, 0.767, 0.233], [0.568, 0.635, 0.782], [0.728, 0.582, 0.102], [0.728, 0.898, 0.418], [0.582, 0.859, 0.141], [0.082, 0.141, 0.859]]
}

---

Record 3
{
  "formula": "Er8Ni2Bi",
  "functional": "PBE",
  "state": "optimized geometry",
  "sg": "No. 12",
  "formation_energy_ev_per_atom": -0.24,
  "final_energy_ev_per_atom": -4.959,
  "cell": [[5.382, -0.037, -0.055], [-0.940, 7.779, -0.152], [-0.940, -3.136, 7.121]],
  "species": ["Bi", "Er", "Er", "Er", "Er", "Er", "Er", "Er", "Er", "Ni", "Ni"],
  "fractional_positions": [[0.500, 0.000, 0.000], [0.500, 0.749, 0.251], [0.915, 0.663, 0.923], [0.296, 0.602, 0.602], [0.085, 0.077, 0.337], [0.500, 0.251, 0.749], [0.915, 0.923, 0.663], [0.085, 0.337, 0.077], [0.704, 0.398, 0.398], [0.000, 0.696, 0.304], [0.000, 0.304, 0.696]]
}

---

Record 4
{
  "formula": "Er6NiBi",
  "functional": "PBE",
  "state": "optimized geometry",
  "sg": "No. 2",
  "formation_energy_ev_per_atom": -0.09,
  "final_energy_ev_per_atom": -4.720,
  "cell": [[-1.491, 5.190, -3.989], [-5.880, 0.159, -3.246], [-5.143, 4.863, 2.610]],
  "species": ["Bi", "Er", "Er", "Er", "Er", "Er", "Er", "Ni"],
  "fractional_positions": [[0.500, 0.500, 0.500], [0.218, 0.967, 0.230], [0.033, 0.415, 0.770], [0.967, 0.585, 0.230], [0.782, 0.033, 0.770], [0.414, 0.782, 0.770], [0.586, 0.218, 0.230], [0.000, 0.000, 0.000]]
}